## Ba2YMo3O8 (GGA+U)

Data for a geometry-optimized Ba2YMo3O8 structure.

Values from the calculation:
**Total moment**: 9.0 μB per formula unit
**Uncorrected energy**: -7.255 eV/atom

Lattice parameters (Å, degrees): 4.1600 4.1600 12.0832 90.00 90.00 90.00
Closest atoms and distances in Å follow each position.
Space group P4/mmm (No. 123)
Asymmetric unit:
Ba (0.0000, 0.0000, 0.1706) x2  8 O 2.93-2.94
Y (0.0000, 0.0000, 0.5000) x1  8 O 2.51
Mo (0.5000, 0.5000, 0.0000) x1  6 O 2.08-2.16
Mo (0.5000, 0.5000, 0.3549) x2  5 O 2.11-2.13
O (0.0000, 0.5000, 0.0000) x2  2 Mo 2.08
O (0.0000, 0.5000, 0.3838) x4  2 Mo 2.11
O (0.5000, 0.5000, 0.1784) x2  2 Mo 2.13-2.16